! LiCo3Cu PBE-GGA relaxed; values from VASP
! SG: Pm-3m
! Energy relative to the lowest polymorph listed for this composition: 0.00 eV/f.u.
&SYSTEM
  ibrav = 0, nat = 5, ntyp = 3
/
ATOMIC_SPECIES
Li 6.94 Li.upf
Co 58.93 Co.upf
Cu 63.55 Cu.upf
ATOMIC_POSITIONS crystal
Li 0.000 0.000 0.000
Co 0.000 0.000 0.500
Co 0.000 0.500 0.000
Co 0.500 0.000 0.000
Cu 0.500 0.500 0.500
CELL_PARAMETERS angstrom
3.890 0.000 0.000
0.000 3.890 0.000
0.000 0.000 3.890

! La2SmY2Er PBE-GGA relaxed; values from VASP
! DFT total energy: -5.096 eV per atom
! SG: Pnnm
&SYSTEM
  ibrav = 0, nat = 12, ntyp = 4
/
ATOMIC_SPECIES
La 138.91 La.upf
Sm 150.36 Sm.upf
Y 88.91 Y.upf
Er 167.26 Er.upf
ATOMIC_POSITIONS crystal
La 0.245 0.153 0.000
La 0.255 0.653 0.500
La 0.745 0.347 0.500
La 0.755 0.847 0.000
Sm 0.000 0.000 0.500
Sm 0.500 0.500 0.000
Y 0.248 0.827 0.000
Y 0.252 0.327 0.500
Y 0.748 0.673 0.500
Y 0.752 0.173 0.000
Er 0.000 0.500 0.500
Er 0.500 0.000 0.000
CELL_PARAMETERS angstrom
6.779 0.000 0.000
0.000 17.796 0.000
0.000 0.000 3.399

! SrAl2Ru PBE-GGA relaxed; values from VASP
! DFT total energy: -4.589 eV per atom
! SG: Immm
&SYSTEM
  ibrav = 0, nat = 4, ntyp = 3
/
ATOMIC_SPECIES
Sr 87.62 Sr.upf
Al 26.98 Al.upf
Ru 101.07 Ru.upf
ATOMIC_POSITIONS crystal
Sr 0.000 0.000 0.000
Al 0.303 0.803 0.500
Al 0.697 0.197 0.500
Ru 0.500 0.500 0.000
CELL_PARAMETERS angstrom
-1.606 2.684 4.971
1.606 -2.684 4.971
1.606 2.684 -4.971

! KNiMo2 PBE-GGA relaxed; values from VASP
! SG: Pmmm
! Energy relative to the lowest polymorph listed for this composition: 2.56 eV/f.u.
&SYSTEM
  ibrav = 0, nat = 4, ntyp = 3
/
ATOMIC_SPECIES
K 39.10 K.upf
Ni 58.69 Ni.upf
Mo 95.94 Mo.upf
ATOMIC_POSITIONS crystal
K 0.000 0.000 0.000
Ni 0.500 0.500 0.000
Mo 0.000 0.500 0.500
Mo 0.500 0.000 0.500
CELL_PARAMETERS angstrom
2.926 0.000 0.000
0.000 4.546 0.000
0.000 0.000 5.315

! YTl2Au PBE-GGA relaxed; values from VASP
! SG: I-42d
! Energy relative to the lowest polymorph listed for this composition: 0.47 eV/f.u.
&SYSTEM
  ibrav = 0, nat = 8, ntyp = 3
/
ATOMIC_SPECIES
Y 88.91 Y.upf
Tl 204.38 Tl.upf
Au 196.97 Au.upf
ATOMIC_POSITIONS crystal
Y 0.000 0.000 0.000
Y 0.750 0.250 0.500
Tl 0.157 0.625 0.032
Tl 0.375 0.407 0.532
Tl 0.593 0.125 0.968
Tl 0.875 0.843 0.468
Au 0.250 0.750 0.500
Au 0.500 0.500 0.000
CELL_PARAMETERS angstrom
-4.131 4.131 3.134
4.131 -4.131 3.134
4.131 4.131 -3.134

! TaFeSi PBE-GGA relaxed; values from VASP
! SG: F-43m
! E_form (uncorrected): -0.339 eV/atom
&SYSTEM
  ibrav = 0, nat = 3, ntyp = 3
/
ATOMIC_SPECIES
Ta 180.95 Ta.upf
Fe 55.84 Fe.upf
Si 28.09 Si.upf
ATOMIC_POSITIONS crystal
Ta 0.000 0.000 0.000
Fe 0.250 0.250 0.250
Si 0.500 0.500 0.500
CELL_PARAMETERS angstrom
0.000 2.829 2.829
2.829 0.000 2.829
2.829 2.829 0.000

! LiAcScBi2 PBE-GGA relaxed; values from VASP
! DFT total energy: -4.665 eV per atom
! SG: I-4m2
&SYSTEM
  ibrav = 0, nat = 5, ntyp = 4
/
ATOMIC_SPECIES
Li 6.94 Li.upf
Ac 227.00 Ac.upf
Sc 44.96 Sc.upf
Bi 208.98 Bi.upf
ATOMIC_POSITIONS crystal
Li 0.000 0.000 0.000
Ac 0.750 0.250 0.500
Sc 0.500 0.500 0.000
Bi 0.128 0.628 0.500
Bi 0.372 0.872 0.500
CELL_PARAMETERS angstrom
-2.264 2.264 7.209
2.264 -2.264 7.209
2.264 2.264 -7.209

! V3Co2Ni8 PBE-GGA relaxed; values from VASP
! DFT total energy: -6.594 eV per atom
! SG: R-3m
&SYSTEM
  ibrav = 0, nat = 13, ntyp = 3
/
ATOMIC_SPECIES
V 50.94 V.upf
Co 58.93 Co.upf
Ni 58.69 Ni.upf
ATOMIC_POSITIONS crystal
V 0.000 0.000 0.000
V 0.186 0.186 0.186
V 0.814 0.814 0.814
Co 0.360 0.360 0.360
Co 0.640 0.640 0.640
Ni 0.230 0.730 0.730
Ni 0.270 0.270 0.770
Ni 0.270 0.770 0.270
Ni 0.275 0.275 0.275
Ni 0.725 0.725 0.725
Ni 0.730 0.230 0.730
Ni 0.730 0.730 0.230
Ni 0.770 0.270 0.270
CELL_PARAMETERS angstrom
2.281 1.317 8.798
-2.281 1.317 8.798
0.000 -2.633 8.798

Mass density list, top to bottom, in g/cm3: 7.0; 6.3; 4.7; 6.8; 10.8; 9.7; 7.8; 7.8